(P)
Co2TeBr | PBE | optimized geometry

The structure belongs to space group P4mm (No. 99); the cell edges are 3.373, 3.373 and 7.404 Å and the angles 90.00°, 90.00° and 90.00°. The distinct sites, in fractional coordinates, are Co at (0.000, 0.000, 0.000), Co at (0.500, 0.500, 0.166), Te at (0.000, 0.000, 0.330) and Br at (0.500, 0.500, 0.835).

Its magnetic moment is 0.690 μB per atom.

---

(Q)
Co2TeBr | PBE | optimized geometry

The structure belongs to space group Pmmm (No. 47); the cell edges are 3.173, 4.592 and 4.734 Å and the angles 90.00°, 90.00° and 90.00°. The distinct sites, in fractional coordinates, are Co at (0.000, 0.000, 0.000), Co at (0.000, 0.500, 0.500), Te at (0.500, 0.000, 0.500) and Br at (0.500, 0.500, 0.000).

Its magnetic moment is 0.714 μB per atom.

---

Stability, lowest: (Q)

---

(P)
Co2TeBr | PBE | optimized geometry

The structure belongs to space group Immm (No. 71); the cell edges are 3.374, 6.938 and 7.586 Å and the angles 90.00°, 90.00° and 90.00°. The distinct sites, in fractional coordinates, are Co at (0.000, 0.000, 0.249), Te at (0.000, 0.500, 0.000) and Br at (0.000, 0.500, 0.500).

Its magnetic moment is 0.945 μB per atom.

---

(Q)
Co2TeBr | PBE | optimized geometry

The structure belongs to space group I-42d (No. 122); the cell edges are 5.681, 5.681 and 11.372 Å and the angles 90.00°, 90.00° and 90.00°. The distinct sites, in fractional coordinates, are Co at (0.239, 0.250, 0.125), Te at (0.000, 0.000, 0.500) and Br at (0.000, 0.000, 0.000).

Its magnetic moment is 0.952 μB per atom.

---

Stability, lowest: (P)

---

(P)
Co2TeBr | PBE | optimized geometry

The structure belongs to space group Pm (No. 6); the cell edges are 3.723, 3.720 and 7.166 Å and the angles 90.00°, 90.33° and 90.00°. The distinct sites, in fractional coordinates, are Co at (0.000, 0.000, 0.000), Co at (0.500, 0.500, 0.000), Te at (0.497, 0.000, 0.762) and Br at (0.003, 0.500, 0.232).

Its magnetic moment is 0.901 μB per atom.

---

(Q)
Co2TeBr | PBE | optimized geometry

The structure belongs to space group Fm-3m (No. 225); the cell edges are 6.394, 6.394 and 6.394 Å and the angles 90.00°, 90.00° and 90.00°. The distinct sites, in fractional coordinates, are Co at (0.250, 0.250, 0.250), Te at (0.000, 0.000, 0.000) and Br at (0.000, 0.000, 0.500).

Its magnetic moment is 0.000 μB per atom.

---

(R)
Co2TeBr | PBE | optimized geometry

The structure belongs to space group Pmmm (No. 47); the cell edges are 3.388, 3.688 and 6.391 Å and the angles 90.00°, 90.00° and 90.00°. The distinct sites, in fractional coordinates, are Co at (0.000, 0.000, 0.177), Te at (0.500, 0.500, 0.000) and Br at (0.500, 0.000, 0.500).

Its magnetic moment is 0.834 μB per atom.

---

(S)
Co2TeBr | PBE | optimized geometry

The structure belongs to space group C2/m (No. 12); the cell edges are 7.224, 7.202 and 3.280 Å and the angles 90.00°, 92.28° and 90.00°. The distinct sites, in fractional coordinates, are Co at (0.250, 0.250, 0.000), Te at (0.000, 0.000, 0.000) and Br at (0.000, 0.500, 0.000).

Its magnetic moment is 0.845 μB per atom.

---

Stability, lowest: (Q)

---

(P)
CoTe3Br | PBE | optimized geometry

The structure belongs to space group Pm-3m (No. 221); the cell edges are 5.092, 5.092 and 5.092 Å and the angles 90.00°, 90.00° and 90.00°. The distinct sites, in fractional coordinates, are Co at (0.000, 0.000, 0.000), Te at (0.000, 0.000, 0.500) and Br at (0.500, 0.500, 0.500).

Its magnetic moment is 0.401 μB per atom.

---

(Q)
CoTe3Br | PBE | optimized geometry

The structure belongs to space group Pm-3m (No. 221); the cell edges are 5.539, 5.539 and 5.539 Å and the angles 90.00°, 90.00° and 90.00°. The distinct sites, in fractional coordinates, are Co at (0.000, 0.000, 0.000), Te at (0.000, 0.500, 0.500) and Br at (0.500, 0.500, 0.500).

Its magnetic moment is 0.546 μB per atom.

---

Stability, lowest: (Q)

---

(P)
TiCo3Br | PBE | optimized geometry

The structure belongs to space group Pm-3m (No. 221); the cell edges are 4.468, 4.468 and 4.468 Å and the angles 90.00°, 90.00° and 90.00°. The distinct sites, in fractional coordinates, are Ti at (0.000, 0.000, 0.000), Co at (0.000, 0.000, 0.500) and Br at (0.500, 0.500, 0.500).

Its magnetic moment is 0.521 μB per atom.

---

(Q)
TiCo3Br | PBE | optimized geometry

The structure belongs to space group Pm-3m (No. 221); the cell edges are 4.293, 4.293 and 4.293 Å and the angles 90.00°, 90.00° and 90.00°. The distinct sites, in fractional coordinates, are Ti at (0.000, 0.000, 0.000), Co at (0.000, 0.500, 0.500) and Br at (0.500, 0.500, 0.500).

Its magnetic moment is 0.081 μB per atom.

---

Stability, lowest: (P)

---

(P)
Ti3CoBr | PBE | optimized geometry

The structure belongs to space group Pm-3m (No. 221); the cell edges are 4.598, 4.598 and 4.598 Å and the angles 90.00°, 90.00° and 90.00°. The distinct sites, in fractional coordinates, are Ti at (0.000, 0.000, 0.500), Co at (0.500, 0.500, 0.500) and Br at (0.000, 0.000, 0.000).

Its magnetic moment is 0.393 μB per atom.

---

(Q)
Ti3CoBr | PBE | optimized geometry

The structure belongs to space group Pm-3m (No. 221); the cell edges are 4.590, 4.590 and 4.590 Å and the angles 90.00°, 90.00° and 90.00°. The distinct sites, in fractional coordinates, are Ti at (0.000, 0.000, 0.500), Co at (0.000, 0.000, 0.000) and Br at (0.500, 0.500, 0.500).

Its magnetic moment is 0.343 μB per atom.

---

Stability, lowest: (P)